Entry from Alexandria: a geometry-optimized Ni2Hg2AuO6 structure (PBE with a Hubbard U).

Computed properties:
The density of states at the Fermi level comes out at 0.96 states/eV/f.u. The value obtained for the final energy is -43.26 eV/cell. Its total magnetization is 0.27 μB/atom.

Lattice parameters (Å, degrees): 5.507 5.507 5.967 90.79 90.79 120.46
Fractional positions:
Ni: 0.157 0.843 0.000
Ni: 0.843 0.157 0.000
Hg: 0.329 0.671 0.500
Hg: 0.671 0.329 0.500
Au: 0.500 0.500 0.000
O: 0.171 0.524 0.181
O: 0.172 0.172 0.830
O: 0.476 0.829 0.819
O: 0.524 0.171 0.181
O: 0.828 0.828 0.170
O: 0.829 0.476 0.819